The following is a DFT calculation (GGA-PBE) of an optimized crystal structure of Ba3GaPb3.

Cell lengths 5.2307, 6.9644, 15.9938 Å; angles 83.93, 80.59, 67.94 degrees
Element x y z (fractional)
Ba 0.4755 0.6624 0.3867
Ba 0.3989 0.2802 0.9221
Ba 0.2664 0.2320 0.2351
Ba 0.5245 0.3376 0.6133
Ba 0.6011 0.7198 0.0779
Ba 0.7336 0.7680 0.7649
Ga 0.2239 0.9420 0.6102
Ga 0.7761 0.0580 0.3898
Pb 0.1114 0.8552 0.9220
Pb 0.9762 0.8129 0.2348
Pb 0.1577 0.2282 0.4564
Pb 0.8886 0.1448 0.0780
Pb 0.0238 0.1871 0.7652
Pb 0.8423 0.7718 0.5436

Calculated values
energy of formation from the pure elements = -0.52 eV/atom